No. 1
The following is a PBE-GGA calculation of crystalline ZrAgBr2 at its relaxed geometry, from the Alexandria database.

Cell and atoms, written as extended XYZ:
```
4
Lattice="3.427 0.000 0.000 0.000 4.511 0.000 0.000 0.000 5.940" Properties=species:S:1:pos:R:3 pbc="T T T"
Zr 0.000 0.000 0.000
Ag 1.713 0.000 2.970
Br 0.000 2.255 2.970
Br 1.713 2.255 0.000
```

SG = No. 47
Formation energy from raw total energies = -58 meV per atom
Crystal system = orthorhombic

***

No. 2
The following is a PBE-GGA calculation of crystalline ZrAgBr2 at its relaxed geometry, from the Alexandria database.

Cell and atoms, written as extended XYZ:
```
4
Lattice="3.366 -3.815 0.000 3.366 3.815 0.000 0.000 0.000 3.431" Properties=species:S:1:pos:R:3 pbc="T T T"
Zr 0.000 0.000 0.000
Ag 3.366 0.000 0.000
Br 1.683 1.907 1.716
Br 1.683 -1.907 1.716
```

SG = No. 65
Formation energy from raw total energies = -59 meV per atom
Crystal system = orthorhombic

***

No. 3
The following is a PBE-GGA calculation of crystalline ZrAg2Br6 at its relaxed geometry, from the Alexandria database.

Cell and atoms, written as extended XYZ:
```
9
Lattice="3.556 2.053 6.325 -3.556 2.053 6.325 0.000 -4.106 6.325" Properties=species:S:1:pos:R:3 pbc="T T T"
Zr 0.000 0.000 0.000
Ag 0.000 0.000 3.652
Ag 0.000 0.000 15.323
Br -0.989 -2.168 7.859
Br -2.372 -0.227 11.115
Br -1.383 1.941 7.859
Br 1.383 -1.941 11.115
Br 2.372 0.227 7.859
Br 0.989 2.168 11.115
```

SG = No. 148
Formation energy from raw total energies = -888 meV per atom
Crystal system = trigonal

***

No. 4
The following is a PBE-GGA calculation of crystalline ZrAgBr2 at its relaxed geometry, from the Alexandria database.

Cell and atoms, written as extended XYZ:
```
4
Lattice="5.749 -1.687 0.000 5.749 1.687 0.000 -3.060 0.000 6.705" Properties=species:S:1:pos:R:3 pbc="T T T"
Zr 0.000 0.000 0.000
Ag 8.132 0.000 0.005
Br 1.808 0.000 4.803
Br 4.861 0.000 1.900
```

SG = No. 8
Formation energy from raw total energies = -575 meV per atom
Crystal system = monoclinic

***

No. 5
The following is a PBE-GGA calculation of crystalline Zr2AgBr at its relaxed geometry, from the Alexandria database.

Cell and atoms, written as extended XYZ:
```
4
Lattice="3.187 0.000 0.000 0.000 4.266 0.000 -0.963 0.000 6.317" Properties=species:S:1:pos:R:3 pbc="T T T"
Zr 0.085 0.000 1.539
Zr 2.138 0.000 4.778
Ag 1.593 2.133 0.000
Br -0.482 2.133 3.159
```

SG = No. 10
Formation energy from raw total energies = -81 meV per atom
Crystal system = monoclinic

***

No. 6
The following is a PBE-GGA calculation of crystalline ZrAgBr2 at its relaxed geometry, from the Alexandria database.

Cell and atoms, written as extended XYZ:
```
4
Lattice="-1.661 2.547 7.351 1.661 -2.547 7.351 1.661 2.547 -7.351" Properties=species:S:1:pos:R:3 pbc="T T T"
Zr 0.000 0.000 0.000
Ag 0.000 0.000 7.351
Br 1.661 0.000 2.169
Br 0.000 2.547 5.183
```

SG = No. 71
Formation energy from raw total energies = -588 meV per atom
Crystal system = orthorhombic

***

No. 7
The following is a PBE-GGA calculation of crystalline Zr2AgBr at its relaxed geometry, from the Alexandria database.

Cell and atoms, written as extended XYZ:
```
4
Lattice="5.816 -1.620 0.000 5.816 1.620 0.000 -2.155 0.000 4.579" Properties=species:S:1:pos:R:3 pbc="T T T"
Zr 0.000 0.000 0.000
Zr 8.096 0.000 1.279
Ag 1.069 0.000 3.505
Br 4.421 0.000 2.148
```

SG = No. 8
Formation energy from raw total energies = -55 meV per atom
Crystal system = monoclinic

***

No. 8
The following is a PBE-GGA calculation of crystalline Zr2AgBr at its relaxed geometry, from the Alexandria database.

Cell and atoms, written as extended XYZ:
```
4
Lattice="3.173 0.000 0.000 0.000 4.237 0.000 0.000 0.000 6.269" Properties=species:S:1:pos:R:3 pbc="T T T"
Zr 0.000 0.000 1.474
Zr 0.000 0.000 4.795
Ag 1.587 2.118 0.000
Br 1.587 2.118 3.134
```

SG = No. 47
Formation energy from raw total energies = -18 meV per atom
Crystal system = orthorhombic